(1)
Below is an optimized crystal structure of Nd5Y2In2, with properties calculated at the PBE level.

Lattice parameters (Å, degrees): 6.3923 9.0622 11.3872 113.45 106.30 90.00
Closest atoms and distances in Å follow each position.
Sites, in units of the cell vectors:
1 Y 0.8136 0.4835 0.8546  1 Y 3.24, 2 In 3.29-3.33, 5 Nd 3.35-3.52
2 Y 0.1864 0.6288 0.1454  1 Y 3.24, 2 In 3.29-3.33, 5 Nd 3.35-3.52
3 Y 0.4590 0.1288 0.1454  1 Y 3.24, 2 In 3.29-3.33, 5 Nd 3.35-3.52
4 Y 0.5410 0.9835 0.8546  1 Y 3.24, 2 In 3.29-3.33, 5 Nd 3.35-3.52
5 Nd 0.3033 0.6190 0.8327  3 In 3.37-3.54, 3 Y 3.46-3.52, 3 Nd 3.58-3.63
6 Nd 0.2174 0.0348 0.3371  3 Nd 3.24-3.58, 3 In 3.28-3.37, 2 Y 3.35-3.42
7 Nd 0.0294 0.1190 0.8327  3 In 3.37-3.54, 3 Y 3.46-3.52, 3 Nd 3.58-3.63
8 Nd 0.9706 0.2863 0.1673  3 In 3.37-3.54, 3 Y 3.46-3.52, 3 Nd 3.58-3.63
9 Nd 0.7826 0.6978 0.6629  3 Nd 3.24-3.58, 3 In 3.28-3.37, 2 Y 3.35-3.42
10 Nd 0.6967 0.7863 0.1673  3 In 3.37-3.54, 3 Y 3.46-3.52, 3 Nd 3.58-3.63
11 Nd 0.6197 0.5348 0.3371  3 Nd 3.24-3.58, 3 In 3.28-3.37, 2 Y 3.35-3.42
12 Nd 0.1629 0.7779 0.5000  3 In 3.33-3.51, 4 Nd 3.58-3.67
13 Nd 0.3803 0.1978 0.6629  3 Nd 3.24-3.58, 3 In 3.28-3.37, 2 Y 3.35-3.42
14 Nd 0.8371 0.2779 0.5000  3 In 3.33-3.51, 4 Nd 3.58-3.67
15 In 0.5000 0.3772 0.0000  4 Y 3.29-3.33, 6 Nd 3.37-3.46
16 In 0.0000 0.8772 0.0000  4 Y 3.29-3.33, 6 Nd 3.37-3.46
17 In 0.6680 0.9307 0.5000  9 Nd 3.28-3.54
18 In 0.3320 0.4307 0.5000  9 Nd 3.28-3.54

Properties
Its space-group type is Ima2. Its density of states at the Fermi level is 1.3508 states/eV per atom.

(2)
Below is an optimized crystal structure of Nd3Y12In, with properties calculated at the PBE level.

Lattice parameters (Å, degrees): 5.0143 5.0143 20.3720 90.00 90.00 90.00
Closest atoms and distances in Å follow each position.
Sites, in units of the cell vectors:
1 Y 0.5000 0.5000 0.7574  4 Nd 3.55, 8 Y 3.56-3.65
2 Y 0.5000 0.5000 0.0000  8 Y 3.48, 4 In 3.55
3 Y 0.5000 0.0000 0.6271  8 Y 3.55-3.65, 4 Nd 3.57-3.60
4 Y 0.5000 0.0000 0.8813  8 Y 3.48-3.56, 2 In 3.48, 2 Nd 3.64
5 Y 0.0000 0.5000 0.6271  8 Y 3.55-3.65, 4 Nd 3.57-3.60
6 Y 0.5000 0.0000 0.1187  2 In 3.48, 8 Y 3.48-3.56, 2 Nd 3.64
7 Y 0.5000 0.0000 0.3729  8 Y 3.55-3.65, 4 Nd 3.57-3.60
8 Y 0.5000 0.5000 0.2426  4 Nd 3.55, 8 Y 3.56-3.65
9 Y 0.0000 0.5000 0.1187  2 In 3.48, 8 Y 3.48-3.56, 2 Nd 3.64
10 Y 0.0000 0.5000 0.3729  8 Y 3.55-3.65, 4 Nd 3.57-3.60
11 Y 0.5000 0.5000 0.5000  4 Nd 3.55, 8 Y 3.60
12 Y 0.0000 0.5000 0.8813  8 Y 3.48-3.56, 2 In 3.48, 2 Nd 3.64
13 Nd 0.0000 0.0000 0.7518  12 Y 3.55-3.64
14 Nd 0.0000 0.0000 0.2482  12 Y 3.55-3.64
15 Nd 0.0000 0.0000 0.5000  12 Y 3.55-3.60
16 In 0.0000 0.0000 0.0000  12 Y 3.48-3.55

Properties
Its space-group type is P4/mmm. Its density of states at the Fermi level is 1.3479 states/eV per atom.

(3)
Below is an optimized crystal structure of NdY2In, with properties calculated at the PBE level.

Lattice parameters (Å, degrees): 3.6450 3.6450 11.1102 80.58 80.58 60.02
Closest atoms and distances in Å follow each position.
Sites, in units of the cell vectors:
1 Y 0.0761 0.0761 0.7719  3 In 3.26-3.27, 3 Nd 3.64, 6 Y 3.64-3.65
2 Y 0.2574 0.2574 0.2276  3 In 3.25
3 In 0.6664 0.6664 0.0006  6 Y 3.25-3.27
4 Nd 0.5001 0.5001 0.4999  6 Y 3.64, 6 Nd 3.64-3.65

Properties
Its space-group type is R3m. Its density of states at the Fermi level is 1.4298 states/eV per atom.

Record order is preserved below.
Calculated density: 6.51; 5.23; 5.78 g/cm3
Record order is preserved below.
E_form: -0.1103; -0.0421; -0.1524 eV/atom
Record order is preserved below.
DFT total energy: -43.237; -95.285; -21.044 eV per formula unit